Computed, not measured: an optimized crystal structure of RbBeCrO4 at the GGA+U level of DFT.

Output
uncorrected energy = -87.4 eV/cell
SG = P2_1/m

Unit cell a=4.914 b=5.380 c=8.235 alpha=90.00 beta=123.52 gamma=90.00
Site moments in Bohr magnetons follow the coordinates.
Fractional positions:
O (0.600, 0.250, 0.753)  -0.10
O (0.400, 0.750, 0.247)  -0.10
O (0.022, 0.026, 0.647)  -0.14
O (0.565, 0.750, 0.580)  -0.13
O (0.978, 0.526, 0.353)  -0.14
O (0.435, 0.250, 0.420)  -0.13
O (0.978, 0.974, 0.353)  -0.14
O (0.022, 0.474, 0.647)  -0.14
Be (0.770, 0.250, 0.629)  0.01
Be (0.230, 0.750, 0.371)  0.01
Rb (0.651, 0.750, 0.927)  0.00
Rb (0.349, 0.250, 0.073)  0.00
Cr (0.195, 0.250, 0.523)  1.55
Cr (0.805, 0.750, 0.477)  1.55